Entry 1:
{"formula": "AlAs", "functional": "PBEsol", "state": "relaxed", "lattice_angstrom": [[0.000, 2.841, 2.841], [2.841, 0.000, 2.841], [2.841, 2.841, 0.000]], "species": ["Al", "As"], "fractional_positions": [[0.000, 0.000, 0.000], [0.250, 0.250, 0.250]], "final_energy_ev_per_atom": -5.03, "magmom_total_mub_per_cell": 0.00, "volume_a3_per_fu": 45.8, "delta_e_f_mev_per_atom": -433.9}


Entry 2:
{"formula": "Ba2ScCl", "functional": "PBEsol", "state": "relaxed", "lattice_angstrom": [[6.088, 0.000, 0.000], [0.000, 6.088, 0.000], [0.000, 0.000, 3.674]], "species": ["Ba", "Ba", "Sc", "Cl"], "fractional_positions": [[0.000, 0.500, 0.000], [0.500, 0.000, 0.000], [0.000, 0.000, 0.500], [0.500, 0.500, 0.500]], "e_above_lowest_polymorph_mev_per_atom": 0, "final_energy_ev_per_atom": -3.66, "magmom_total_mub_per_cell": 0.02, "e_form_raw_mev_per_atom": -437, "volume_a3_per_fu": 136.2}


Entry 3:
{"formula": "K2SrCa", "functional": "PBEsol", "state": "relaxed", "lattice_angstrom": [[2.317, -3.354, 0.000], [2.317, 3.354, 0.000], [0.000, 0.000, 14.133]], "species": ["K", "K", "Sr", "Ca"], "fractional_positions": [[0.000, 0.000, 0.000], [0.500, 0.500, 0.276], [0.000, 0.000, 0.536], [0.500, 0.500, 0.756]], "final_energy_ev_per_atom": -1.47, "magmom_total_mub_per_cell": 0.00, "volume_a3_per_fu": 219.7, "delta_e_f_mev_per_atom": 90.5}


Entry 4:
{"formula": "Cs2KHfBr", "functional": "PBEsol", "state": "relaxed", "lattice_angstrom": [[6.776, 0.000, 0.000], [0.000, 6.776, 0.000], [0.000, 0.000, 6.687]], "species": ["Cs", "Cs", "K", "Hf", "Br"], "fractional_positions": [[0.000, 0.500, 0.000], [0.500, 0.000, 0.000], [0.000, 0.000, 0.500], [0.000, 0.000, 0.000], [0.500, 0.500, 0.500]], "final_energy_ev_per_atom": -2.44, "magmom_total_mub_per_cell": 4.00, "e_form_raw_mev_per_atom": 643, "volume_a3_per_fu": 307.1}


Entry 5:
{"formula": "Ga3TcH", "functional": "PBEsol", "state": "relaxed", "lattice_angstrom": [[4.759, 0.000, 0.000], [0.000, 4.759, 0.000], [0.000, 0.000, 4.759]], "species": ["Ga", "Ga", "Ga", "Tc", "H"], "fractional_positions": [[0.000, 0.000, 0.500], [0.000, 0.500, 0.000], [0.500, 0.000, 0.000], [0.000, 0.000, 0.000], [0.500, 0.500, 0.500]], "final_energy_ev_per_atom": -4.27, "magmom_total_mub_per_cell": 1.01, "volume_a3_per_fu": 107.8}


Entry 6:
{"formula": "Ga2SnBi2", "functional": "PBEsol", "state": "relaxed", "lattice_angstrom": [[-1.923, 1.923, 8.606], [1.923, -1.923, 8.606], [1.923, 1.923, -8.606]], "species": ["Ga", "Ga", "Sn", "Bi", "Bi"], "fractional_positions": [[0.250, 0.750, 0.500], [0.750, 0.250, 0.500], [0.000, 0.000, 0.000], [0.395, 0.395, 0.000], [0.605, 0.605, 0.000]], "final_energy_ev_per_atom": -3.82, "magmom_total_mub_per_cell": 0.00, "volume_a3_per_fu": 127.4, "delta_e_f_mev_per_atom": 77.2}


Repeat the first record exactly.
{"formula": "AlAs", "functional": "PBEsol", "state": "relaxed", "lattice_angstrom": [[0.000, 2.841, 2.841], [2.841, 0.000, 2.841], [2.841, 2.841, 0.000]], "species": ["Al", "As"], "fractional_positions": [[0.000, 0.000, 0.000], [0.250, 0.250, 0.250]], "final_energy_ev_per_atom": -5.03, "magmom_total_mub_per_cell": 0.00, "volume_a3_per_fu": 45.8, "delta_e_f_mev_per_atom": -433.9}


Number 2 is which compound? Ba2ScCl